Here is VMoI2O after structural relaxation from the Alexandria database. Energies are from PBE with a Hubbard U.

Lattice parameters (Å, degrees): 5.292 5.292 5.758 90.00 90.00 90.00
Space group P4/mmm (No. 123)
Asymmetric unit:
1 V 0.000 0.000 0.000 [1 per cell]
2 Mo 0.000 0.000 0.500 [1 per cell]
3 I 0.000 0.500 0.000 [2 per cell]
4 O 0.500 0.500 0.500 [1 per cell]

E = -16.04 eV/cell
E above lowest polymorph = 1522 meV per atom